No. 1
Material: Ca4MgZnCd2
Method: DFT, PBE
State: relaxed

The structure in POSCAR format:
```
Ca4MgZnCd2
1.0
5.422 0.000 0.000
2.711 4.696 0.000
2.711 1.565 8.821
Ca Mg Zn Cd
4 1 1 2
Direct
0.380 0.380 0.859
0.871 0.871 0.388
0.129 0.129 0.612
0.620 0.620 0.141
0.000 0.000 0.000
0.500 0.500 0.500
0.745 0.745 0.764
0.255 0.255 0.236
```

Formation energy from the elements, meV per atom: -255


No. 2
Material: Pr4SmMg5
Method: DFT, PBE
State: relaxed

The structure in POSCAR format:
```
Pr4SmMg5
1.0
3.897 0.000 0.000
0.000 3.897 0.000
0.000 0.000 19.550
Pr Sm Mg
4 1 5
Direct
0.000 0.000 0.197
0.000 0.000 0.399
0.000 0.000 0.601
0.000 0.000 0.803
0.000 0.000 0.000
0.500 0.500 0.097
0.500 0.500 0.298
0.500 0.500 0.500
0.500 0.500 0.702
0.500 0.500 0.903
```

Formation energy from the elements, meV per atom: -112


No. 3
Material: TbDyY5Tm2
Method: DFT, PBE
State: relaxed

The structure in POSCAR format:
```
TbDyY5Tm2
1.0
5.588 0.000 0.000
-2.794 9.989 0.000
0.000 0.000 10.507
Tb Dy Y Tm
2 2 10 4
Direct
0.804 0.607 0.514
0.196 0.393 0.014
0.587 0.174 0.951
0.413 0.826 0.451
0.387 0.773 0.024
0.721 0.443 0.815
0.479 0.958 0.738
0.300 0.600 0.706
0.983 0.966 0.522
0.613 0.227 0.524
0.279 0.557 0.315
0.521 0.042 0.238
0.700 0.400 0.206
0.017 0.034 0.022
0.888 0.775 0.816
0.110 0.221 0.738
0.112 0.225 0.316
0.890 0.779 0.238
```

Formation energy from the elements, meV per atom: 159


No. 4
Material: Nb2TeN
Method: DFT, PBE
State: relaxed

The structure in POSCAR format:
```
Nb2TeN
1.0
5.304 0.000 0.000
0.000 5.304 0.000
2.652 2.652 5.806
Nb Te N
4 2 2
Direct
0.492 0.125 0.250
0.258 0.625 0.250
0.375 0.508 0.750
0.875 0.742 0.750
0.000 0.000 0.000
0.750 0.250 0.500
0.500 0.500 0.000
0.250 0.750 0.500
```

ΔE to the lowest computed polymorph, meV per atom: 0
E_form (uncorrected), meV/atom: -176